First-principles (meta-GGA SCAN) data for BaSr2MgW at its PBEsol-relaxed geometry, as listed in Alexandria.

Lattice parameters (Å, degrees): 6.1089 6.1089 5.2891 90.00 90.00 90.00
Atoms (fractional coordinates):
Ba1 0.0000 0.0000 0.0000
Sr1 0.0000 0.5000 0.5000
Sr2 0.5000 0.0000 0.5000
Mg1 0.5000 0.5000 0.5000
W1 0.5000 0.5000 0.0000

Results
M_tot ... 4.0 μB/cell
Formation energy ... 108.9 kJ per mole of atoms